VASP calculation (PBE) on a relaxed structure of CsPr2CuS4.

Results
Total energy ... -87.12 eV per cell
Magnetization ... 0.00 μB per formula unit

Cell lengths 7.552, 7.552, 14.221 Å; angles 90.00, 90.00, 148.11 degrees
Atoms (fractional coordinates):
Cs (0.106, 0.894, 0.750)
Cs (0.894, 0.106, 0.250)
Pr (0.366, 0.634, 0.560)
Pr (0.366, 0.634, 0.940)
Pr (0.634, 0.366, 0.060)
Pr (0.634, 0.366, 0.440)
Cu (0.164, 0.836, 0.250)
Cu (0.836, 0.164, 0.750)
S (0.000, 0.000, 0.000)
S (0.000, 0.000, 0.500)
S (0.256, 0.744, 0.111)
S (0.256, 0.744, 0.389)
S (0.419, 0.581, 0.750)
S (0.581, 0.419, 0.250)
S (0.744, 0.256, 0.611)
S (0.744, 0.256, 0.889)